Entry 1:
Material: KCr2TeOs
Method: DFT, PBE
State: relaxed

The space group is P4/mmm (No. 123) and the conventional cell measures 5.195, 5.195 and 6.145 Å, with angles of 90.00, 90.00 and 90.00 degrees. The inequivalent atoms are K at (0.000, 0.000, 0.000), Cr at (0.000, 0.500, 0.500), Te at (0.000, 0.000, 0.500) and Os at (0.500, 0.500, 0.000).

As for the formation energy (no corrections): 1.94 eV/atom.

***

Entry 2:
Material: KYCrOs2
Method: DFT, PBE
State: relaxed

The space group is P4/mmm (No. 123) and the conventional cell measures 4.795, 4.795 and 4.543 Å, with angles of 90.00, 90.00 and 90.00 degrees. The inequivalent atoms are K at (0.000, 0.000, 0.000), Y at (0.500, 0.500, 0.500), Cr at (0.000, 0.000, 0.500) and Os at (0.000, 0.500, 0.000).

The formation energy comes out at 2.470 eV per atom.

***

Entry 3:
Material: KCrP2
Method: DFT, PBE
State: relaxed

The space group is Imm2 (No. 44) and the conventional cell measures 2.910, 3.369 and 15.424 Å, with angles of 90.00, 90.00 and 90.00 degrees. The inequivalent atoms are K at (0.000, 0.000, 0.000), Cr at (0.000, 0.500, 0.262), P at (0.000, 0.000, 0.650) and P at (0.000, 0.500, 0.822).

The formation energy comes out at -0.114 eV per atom. Its relative energy among the computed polymorphs is 115.3 meV per atom.

***

Entry 4:
Material: KCrP
Method: DFT, PBE
State: relaxed

The space group is P-6m2 (No. 187) and the conventional cell measures 4.1222, 4.1222 and 5.3476 Å, with angles of 90.00, 90.00 and 120.00 degrees. The inequivalent atoms are K at (0.0000, 0.0000, 0.0000), Cr at (0.3333, 0.6667, 0.5000) and P at (0.6667, 0.3333, 0.5000).

The formation energy comes out at -0.058 eV per atom.

***

Entry 5:
Material: KCrP2
Method: DFT, PBE
State: relaxed

The space group is I-4m2 (No. 119) and the conventional cell measures 4.060, 4.060 and 9.463 Å, with angles of 90.00, 90.00 and 90.00 degrees. The inequivalent atoms are K at (0.000, 0.000, 0.000), Cr at (0.000, 0.500, 0.250), P at (0.000, 0.000, 0.500) and P at (0.000, 0.500, 0.750).

The formation energy comes out at 0.712 eV per atom. Its relative energy among the computed polymorphs is 941.4 meV per atom.

***

Entry 6:
Material: KCrP2
Method: DFT, PBE
State: relaxed

The space group is F-43m (No. 216) and the conventional cell measures 6.809, 6.809 and 6.809 Å, with angles of 90.00, 90.00 and 90.00 degrees. The inequivalent atoms are K at (0.000, 0.000, 0.000), Cr at (0.250, 0.250, 0.750), P at (0.000, 0.000, 0.500) and P at (0.250, 0.250, 0.250).

The formation energy comes out at 0.838 eV per atom. Its relative energy among the computed polymorphs is 1067.9 meV per atom.

***

Entry 7:
Material: KCrP
Method: DFT, PBE
State: relaxed

The space group is P-1 (No. 2) and the conventional cell measures 4.346, 6.620 and 6.684 Å, with angles of 106.71, 108.93 and 90.07 degrees. The inequivalent atoms are K at (0.095, 0.319, 0.189), Cr at (0.202, 0.880, 0.404) and P at (0.344, 0.201, 0.687).

The formation energy comes out at -0.102 eV per atom.

***

Entry 8:
Material: KCrP2
Method: DFT, PBE
State: relaxed

The space group is Fm-3m (No. 225) and the conventional cell measures 6.662, 6.662 and 6.662 Å, with angles of 90.00, 90.00 and 90.00 degrees. The inequivalent atoms are K at (0.000, 0.000, 0.000), Cr at (0.000, 0.000, 0.500) and P at (0.250, 0.250, 0.250).

The formation energy comes out at 0.507 eV per atom. Its relative energy among the computed polymorphs is 736.8 meV per atom.

***

Entry 9:
Material: KCrP
Method: DFT, PBE
State: relaxed

The space group is Cm (No. 8) and the conventional cell measures 10.777, 8.523 and 3.854 Å, with angles of 90.00, 110.92 and 90.00 degrees. The inequivalent atoms are K at (0.000, 0.000, 0.000), K at (0.119, 0.500, 0.616), Cr at (0.303, 0.109, 0.803) and P at (0.345, 0.234, 0.345).

The formation energy comes out at 0.120 eV per atom.

***

Entry 10:
Material: KCrP2
Method: DFT, PBE
State: relaxed

The space group is Cmmm (No. 65) and the conventional cell measures 6.018, 8.423 and 2.992 Å, with angles of 90.00, 90.00 and 90.00 degrees. The inequivalent atoms are K at (0.000, 0.000, 0.000), Cr at (0.000, 0.500, 0.000) and P at (0.250, 0.250, 0.500).

The formation energy comes out at 0.552 eV per atom. Its relative energy among the computed polymorphs is 781.3 meV per atom.

***

Entry 11:
Material: KCrP2
Method: DFT, PBE
State: relaxed

The space group is Immm (No. 71) and the conventional cell measures 4.232, 6.718 and 7.322 Å, with angles of 90.00, 90.00 and 90.00 degrees. The inequivalent atoms are K at (0.000, 0.000, 0.000), Cr at (0.000, 0.000, 0.500) and P at (0.000, 0.500, 0.150).

The formation energy comes out at -0.035 eV per atom. Its relative energy among the computed polymorphs is 195.0 meV per atom.

***

Entry 12:
Material: KCrP
Method: DFT, PBE
State: relaxed

The space group is P1 (No. 1) and the conventional cell measures 4.453, 6.504 and 6.506 Å, with angles of 72.42, 85.32 and 88.25 degrees. The inequivalent atoms are K at (0.000, 0.000, 0.000), K at (0.154, 0.406, 0.400), Cr at (0.559, 0.624, 0.781), Cr at (0.575, 0.862, 0.545), P at (0.052, 0.531, 0.874) and P at (0.075, 0.854, 0.551).

The formation energy comes out at 0.139 eV per atom.

***

Entry 13:
Material: KCrP
Method: DFT, PBE
State: relaxed

The space group is F-43m (No. 216) and the conventional cell measures 6.705, 6.705 and 6.705 Å, with angles of 90.00, 90.00 and 90.00 degrees. The inequivalent atoms are K at (0.000, 0.000, 0.000), Cr at (0.000, 0.000, 0.500) and P at (0.250, 0.250, 0.250).

The formation energy comes out at 0.481 eV per atom.

***

Entry 14:
Material: K2CrP2
Method: DFT, PBE
State: relaxed

The space group is P4/mbm (No. 127) and the conventional cell measures 6.415, 6.415 and 5.472 Å, with angles of 90.00, 90.00 and 90.00 degrees. The inequivalent atoms are K at (0.174, 0.326, 0.000), Cr at (0.000, 0.000, 0.500) and P at (0.126, 0.626, 0.500).

The formation energy comes out at -0.134 eV per atom. Its relative energy among the computed polymorphs is 0.0 meV per atom.

***

Entry 15:
Material: KCrP2
Method: DFT, PBE
State: relaxed

The space group is R3m (No. 160, hexagonal axes) and the conventional cell measures 3.0247, 3.0247 and 26.7529 Å, with angles of 90.00, 90.00 and 120.00 degrees. The inequivalent atoms are K at (0.0000, 0.0000, 0.0000), Cr at (0.0000, 0.0000, 0.2201), P at (0.0000, 0.0000, 0.4965) and P at (0.0000, 0.0000, 0.7668).

The formation energy comes out at 0.593 eV per atom. Its relative energy among the computed polymorphs is 822.4 meV per atom.